Record 1
{
  "formula": "ZrOsI2",
  "functional": "PBE",
  "state": "relaxed",
  "formation_energy_uncorrected_ev_per_fu": 3.3,
  "rho_kg_m3": 10440,
  "lattice_angstrom": [[0.000, 3.492, 3.492], [3.492, 0.000, 3.492], [3.492, 3.492, 0.000]],
  "species": ["I", "Zr", "I", "Os"],
  "fractional_positions": [[0.250, 0.250, 0.250], [0.000, 0.000, 0.000], [0.750, 0.750, 0.750], [0.500, 0.500, 0.500]]
}

---

Record 2
{
  "formula": "ThZn6Au4",
  "functional": "PBE",
  "state": "relaxed",
  "rho_kg_m3": 11624,
  "formation_enthalpy_0k_ev_per_atom": -0.3334,
  "lattice_angstrom": [[4.248, 0.000, 0.000], [0.000, 7.406, 0.000], [0.000, -3.703, 6.414]],
  "species": ["Au", "Zn", "Zn", "Zn", "Zn", "Zn", "Zn", "Au", "Au", "Au", "Th"],
  "fractional_positions": [[0.500, 0.387, 0.194], [0.500, 0.208, 0.792], [0.000, 0.921, 0.461], [0.500, 0.208, 0.416], [0.500, 0.584, 0.792], [0.000, 0.539, 0.079], [0.000, 0.539, 0.461], [0.500, 0.806, 0.194], [0.500, 0.806, 0.613], [0.000, 0.333, 0.667], [0.000, 0.000, 0.000]]
}

---

Record 3
{
  "formula": "Cs2KTaS4",
  "functional": "PBE",
  "state": "relaxed",
  "formation_energy_uncorrected_ev_per_fu": -9.2,
  "rho_kg_m3": 2911,
  "lattice_angstrom": [[-4.153, -4.720, 3.697], [3.556, -6.315, 3.126], [0.233, 4.663, 13.411]],
  "species": ["S", "Ta", "Cs", "S", "Ta", "S", "S", "S", "Cs", "Cs", "S", "S", "S", "Cs", "K", "K"],
  "fractional_positions": [[0.378, 0.696, 0.405], [0.500, 0.000, 0.000], [0.939, 0.500, 0.121], [0.478, 0.304, 0.595], [0.250, 0.500, 0.500], [0.823, 0.804, 0.905], [0.217, 0.304, 0.405], [0.372, 0.804, 0.095], [0.811, 0.000, 0.379], [0.189, 0.000, 0.621], [0.533, 0.196, 0.095], [0.272, 0.196, 0.905], [0.927, 0.696, 0.595], [0.561, 0.500, 0.879], [0.750, 0.500, 0.500], [0.000, 0.000, 0.000]]
}

---

Record 4
{
  "formula": "HoThMgCu",
  "functional": "PBE",
  "state": "relaxed",
  "rho_kg_m3": 8178,
  "formation_enthalpy_0k_ev_per_atom": 0.0401,
  "lattice_angstrom": [[-0.649, 3.508, 3.759], [-3.682, 3.621, -0.442], [-4.202, -0.194, 3.028]],
  "species": ["Ho", "Mg", "Cu", "Th"],
  "fractional_positions": [[0.000, 0.000, 0.000], [0.750, 0.750, 0.750], [0.250, 0.250, 0.250], [0.500, 0.500, 0.500]]
}